Entry from Alexandria via LeMat-Bulk: a geometry-optimized TbCrSbO6 structure (PBE with a Hubbard U).

Summary:
Symmetry: P-31c, No. 163
Final energy: -0.513 Ry per atom
N(E_F): 5.9 states/eV/cell

Cell lengths 5.4594, 5.4594, 8.5462 Å; angles 90.00, 90.00, 120.00 degrees
With the nearest neighbours (Å) after each atom.
Sites, in units of the cell vectors:
Tb 0.3333 0.6667 0.2500  6 O 2.28
Tb 0.6667 0.3333 0.7500  6 O 2.28
Cr 0.0000 0.0000 0.0000  6 O 2.05
Cr 0.0000 0.0000 0.5000  6 O 2.05
Sb 0.3333 0.6667 0.7500  6 O 2.02
Sb 0.6667 0.3333 0.2500  6 O 2.02
O 0.0380 0.3405 0.6226  1 Sb 2.02, 1 Cr 2.05
O 0.0380 0.6975 0.8774  1 Sb 2.02, 1 Cr 2.05
O 0.3025 0.3405 0.8774  1 Sb 2.02, 1 Cr 2.05
O 0.3025 0.9620 0.6226  1 Sb 2.02, 1 Cr 2.05
O 0.3405 0.0380 0.1226  1 Sb 2.02, 1 Cr 2.05
O 0.3405 0.3025 0.3774  1 Sb 2.02, 1 Cr 2.05
O 0.6595 0.6975 0.6226  1 Sb 2.02, 1 Cr 2.05
O 0.6595 0.9620 0.8774  1 Sb 2.02, 1 Cr 2.05
O 0.6975 0.0380 0.3774  1 Sb 2.02, 1 Cr 2.05
O 0.6975 0.6595 0.1226  1 Sb 2.02, 1 Cr 2.05
O 0.9620 0.3025 0.1226  1 Sb 2.02, 1 Cr 2.05
O 0.9620 0.6595 0.3774  1 Sb 2.02, 1 Cr 2.05